No. 1
Compound: LiBeP2O6
Source: Alexandria via LeMat-Bulk
Functional: GGA-PBE
Structure: optimized geometry

Formation energy without anion corrections = -2068 meV/atom
DOS at the Fermi energy = 7.8 states/eV/cell

Lattice parameters (Å, degrees): 10.2965 9.9639 5.6575 90.00 123.27 90.00
Space group C2/c (No. 15)
One atom of each set of equivalent atoms:
1 Li 0.0000 0.2493 0.2500 [4 per cell]
2 Be 0.0000 0.2497 0.7500 [4 per cell]
3 P 0.2504 0.0766 0.7843 [8 per cell]
4 O 0.1022 0.1628 0.6603 [8 per cell]
5 O 0.1021 0.3364 0.0440 [8 per cell]
6 O 0.2493 0.4562 0.5329 [8 per cell]


No. 2
Compound: CrCo2Pd2
Source: Alexandria via LeMat-Bulk
Functional: GGA-PBE
Structure: optimized geometry

Formation enthalpy at 0 K = 29.7 kJ/mol of atoms
DOS at the Fermi energy = 18.3 states/eV/cell

Lattice parameters (Å, degrees): 5.8038 5.8038 3.9383 90.00 90.00 90.00
Space group P4/mbm (No. 127)
One atom of each set of equivalent atoms:
1 Cr 0.0000 0.0000 0.0000 [2 per cell]
2 Co 0.1358 0.3642 0.0000 [4 per cell]
3 Pd 0.1704 0.6704 0.5000 [4 per cell]


No. 3
Compound: TiTcSbRu
Source: Alexandria via LeMat-Bulk
Functional: GGA-PBE
Structure: optimized geometry

Formation energy without anion corrections = -475 meV/atom
DOS at the Fermi energy = 0.4 states/eV/cell

Lattice parameters (Å, degrees): 6.3053 6.3053 6.3053 90.00 90.00 90.00
Space group F-43m (No. 216)
One atom of each set of equivalent atoms:
1 Ti 0.0000 0.0000 0.0000 [4 per cell]
2 Tc 0.2500 0.2500 0.7500 [4 per cell]
3 Sb 0.0000 0.0000 0.5000 [4 per cell]
4 Ru 0.2500 0.2500 0.2500 [4 per cell]


No. 4
Compound: Ac2HfTiO6
Source: Alexandria via LeMat-Bulk
Functional: GGA-PBE
Structure: optimized geometry

Formation energy without anion corrections = -3163 meV/atom
DOS at the Fermi energy = 14.7 states/eV/cell

Lattice parameters (Å, degrees): 8.1829 8.1967 8.2123 90.00 90.00 90.00
Space group Fmmm (No. 69)
One atom of each set of equivalent atoms:
1 Ac 0.2500 0.2500 0.2500 [8 per cell]
2 Hf 0.0000 0.0000 0.0000 [4 per cell]
3 Ti 0.0000 0.0000 0.5000 [4 per cell]
4 O 0.0000 0.0000 0.2530 [8 per cell]
5 O 0.0000 0.2469 0.5000 [8 per cell]
6 O 0.2468 0.0000 0.5000 [8 per cell]